(1)
A plane-wave DFT calculation with PBE was carried out for a relaxed structure of Ac3AlGe2Pt6.

The space group is P-3m1 (No. 164) and the conventional cell measures 5.8453, 5.8453 and 9.5558 Å, with angles of 90.00, 90.00 and 120.00 degrees. The distinct sites, in fractional coordinates, are Ac at (0.0000, 0.0000, 0.0000), Ac at (0.3333, 0.6667, 0.6081), Al at (0.0000, 0.0000, 0.5000), Ge at (0.3333, 0.6667, 0.0914) and Pt at (0.1656, 0.3312, 0.2914).

As for the calculated formation energy: -0.90 eV per atom. The total magnetic moment is 0.00 μB per cell. The density comes out at 11.88 g cm⁻³. The value obtained for the volume is 283 Å³/cell.



(2)
A plane-wave DFT calculation with PBE was carried out for a relaxed structure of Ti8Zn2Bi.

The space group is C2/m (No. 12) and the conventional cell measures 14.4255, 5.2415 and 5.2182 Å, with angles of 90.00, 101.49 and 90.00 degrees. The distinct sites, in fractional coordinates, are Ti at (0.0969, 0.0000, 0.0013), Ti at (0.0997, 0.2427, 0.5300), Ti at (0.2204, 0.5000, 0.1052), Zn at (0.2402, 0.0000, 0.3687) and Bi at (0.0000, 0.5000, 0.0000).

As for the calculated formation energy: 0.03 eV per atom. The total magnetic moment is 0.00 μB per cell. The density comes out at 6.21 g cm⁻³. The value obtained for the volume is 387 Å³/cell.



(3)
A plane-wave DFT calculation with PBE was carried out for a relaxed structure of KPu2PdO8.

The space group is P-1 (No. 2) and the conventional cell measures 5.0304, 5.4325 and 6.9228 Å, with angles of 82.24, 85.60 and 85.88 degrees. The distinct sites, in fractional coordinates, are K at (0.0000, 0.0000, 0.0000), Pu at (0.4829, 0.4718, 0.2561), Pd at (0.0000, 0.0000, 0.5000), O at (0.2486, 0.2021, 0.3005), O at (0.2778, 0.6920, 0.5092), O at (0.2966, 0.6296, 0.0153) and O at (0.3030, 0.2676, 0.7698).

The total magnetic moment is 3.00 μB per cell. The density comes out at 6.78 g cm⁻³. The value obtained for the uncorrected formation energy is -1891 meV per atom. The value obtained for the volume is 187 Å³/cell.



(4)
A plane-wave DFT calculation with PBE was carried out for a relaxed structure of Li3Ga2Cu7.

The space group is R-3m (No. 166, hexagonal axes) and the conventional cell measures 4.9793, 4.9793 and 24.3109 Å, with angles of 90.00, 90.00 and 120.00 degrees. The distinct sites, in fractional coordinates, are Li at (0.0000, 0.0000, 0.0000), Li at (0.0000, 0.0000, 0.1445), Ga at (0.0000, 0.0000, 0.3331), Cu at (0.0000, 0.0000, 0.5000) and Cu at (0.0024, 0.5012, 0.9148).

As for the calculated formation energy: -0.09 eV per atom. The total magnetic moment is 0.00 μB per cell. The density comes out at 5.77 g cm⁻³. The value obtained for the volume is 522 Å³/cell.



(5)
A plane-wave DFT calculation with PBE was carried out for a relaxed structure of SrMnTe2Cl.

The space group is P4/mmm (No. 123) and the conventional cell measures 6.0328, 6.0328 and 6.9747 Å, with angles of 90.00, 90.00 and 90.00 degrees. The distinct sites, in fractional coordinates, are Sr at (0.0000, 0.0000, 0.0000), Mn at (0.0000, 0.0000, 0.5000), Te at (0.0000, 0.5000, 0.0000) and Cl at (0.5000, 0.5000, 0.5000).

The total magnetic moment is 5.58 μB per cell. The density comes out at 2.83 g cm⁻³. The value obtained for the uncorrected formation energy is 577 meV per atom. The value obtained for the volume is 254 Å³/cell.



(6)
A plane-wave DFT calculation with PBE was carried out for a relaxed structure of HfRe2Ir.

The space group is Fm-3m (No. 225) and the conventional cell measures 6.3735, 6.3735 and 6.3735 Å, with angles of 90.00, 90.00 and 90.00 degrees. The distinct sites, in fractional coordinates, are Hf at (0.0000, 0.0000, 0.0000), Re at (0.2500, 0.2500, 0.2500) and Ir at (0.0000, 0.0000, 0.5000).

As for the calculated formation energy: 0.16 eV per atom. The total magnetic moment is 4.45 μB per cell. The density comes out at 19.07 g cm⁻³. The value obtained for the volume is 259 Å³/cell. Its relative energy among the computed polymorphs is 0.000 eV/atom.



- total magnetic moment of number 5 (SrMnTe2Cl)?
  5.58 μB per cell